The following is a DFT calculation (PBE) of a relaxed structure of LiPuRu2.

Properties
DOS(E_F) = 1.06 states/eV per atom
Excess energy over the best structure of this formula in the dataset = 0 meV per atom
Magnetic moment = 3.22 μB/f.u.
DFT formation energy = -0.114 eV per atom

Cell lengths 4.4526, 4.4526, 4.4526 Å; angles 60.00, 60.00, 60.00 degrees
Last column: magnetic moment on the atom in μB.
Fractional positions:
Ru 0.2500 0.2500 0.2500  -0.64
Ru 0.7500 0.7500 0.7500  -0.64
Li 0.5000 0.5000 0.5000  0.00
Pu 0.0000 0.0000 0.0000  4.47